(1)
# Tl2CdSn2, optimized geometry, DFT PBE-GGA
# formation energy from the elements: 0.26 eV per formula unit
# polymorph energy (0 for the lowest one): 0 meV/atom
# total magnetization: 0.0 Bohr magnetons per cell
data_Tl2CdSn2
_chemical_formula_sum 'Tl4 Cd2 Sn4'
_symmetry_space_group_name_H-M 'P 1'
_symmetry_Int_Tables_number 1
_symmetry_space_group_name_Hall 'P 1'
_cell_length_a 4.615
_cell_length_b 6.216
_cell_length_c 11.464
_cell_angle_alpha 80.39
_cell_angle_beta 78.39
_cell_angle_gamma 68.21
loop_
_atom_site_label
_atom_site_fract_x
_atom_site_fract_y
_atom_site_fract_z
Sn1 0.649 0.237 0.465
Sn2 0.351 0.763 0.535
Sn3 0.469 0.170 0.892
Sn4 0.531 0.830 0.108
Tl1 0.189 0.728 0.895
Tl2 0.994 0.327 0.685
Tl3 0.006 0.673 0.315
Tl4 0.811 0.272 0.105
Cd1 0.715 0.881 0.689
Cd2 0.285 0.119 0.311

***

(2)
# LaTlW2, optimized geometry, DFT PBE-GGA
# formation energy from the elements: 4.47 eV per formula unit
# polymorph energy (0 for the lowest one): 782 meV/atom
# total magnetization: 0.0 Bohr magnetons per cell
data_LaTlW2
_chemical_formula_sum 'La1 Tl1 W2'
_symmetry_space_group_name_H-M 'P 1'
_symmetry_Int_Tables_number 1
_symmetry_space_group_name_Hall 'P 1'
_cell_length_a 5.735
_cell_length_b 5.735
_cell_length_c 2.854
_cell_angle_alpha 90.00
_cell_angle_beta 90.00
_cell_angle_gamma 114.17
loop_
_atom_site_label
_atom_site_fract_x
_atom_site_fract_y
_atom_site_fract_z
W1 0.500 0.500 0.000
W2 0.000 0.000 0.000
Tl1 0.000 0.500 0.500
La1 0.500 0.000 0.500

***

(3)
# V7Ga2Sn2, optimized geometry, DFT PBE-GGA
# formation energy from the elements: 0.42 eV per formula unit
# total magnetization: 0.1 Bohr magnetons per cell
data_V7Ga2Sn2
_chemical_formula_sum 'V7 Ga2 Sn2'
_symmetry_space_group_name_H-M 'P 1'
_symmetry_Int_Tables_number 1
_symmetry_space_group_name_Hall 'P 1'
_cell_length_a 6.594
_cell_length_b 4.922
_cell_length_c 6.594
_cell_angle_alpha 115.60
_cell_angle_beta 97.51
_cell_angle_gamma 64.40
loop_
_atom_site_label
_atom_site_fract_x
_atom_site_fract_y
_atom_site_fract_z
V1 0.000 0.000 0.000
V2 0.403 0.317 0.597
V3 0.405 0.825 0.088
V4 0.912 0.825 0.595
V5 0.088 0.175 0.405
V6 0.597 0.683 0.403
V7 0.595 0.175 0.912
Ga1 0.274 0.972 0.726
Ga2 0.726 0.028 0.274
Sn1 0.786 0.500 0.786
Sn2 0.214 0.500 0.214

***

(4)
# Ta2Nb2Al, optimized geometry, DFT PBE-GGA
# formation energy from the elements: 1.45 eV per formula unit
# polymorph energy (0 for the lowest one): 379 meV/atom
# total magnetization: 0.0 Bohr magnetons per cell
data_Ta2Nb2Al
_chemical_formula_sum 'Ta4 Nb4 Al2'
_symmetry_space_group_name_H-M 'P 1'
_symmetry_Int_Tables_number 1
_symmetry_space_group_name_Hall 'P 1'
_cell_length_a 7.266
_cell_length_b 7.266
_cell_length_c 3.598
_cell_angle_alpha 90.00
_cell_angle_beta 90.00
_cell_angle_gamma 90.00
loop_
_atom_site_label
_atom_site_fract_x
_atom_site_fract_y
_atom_site_fract_z
Ta1 0.628 0.128 0.000
Ta2 0.128 0.372 0.000
Ta3 0.872 0.628 0.000
Ta4 0.372 0.872 0.000
Nb1 0.821 0.321 0.500
Nb2 0.321 0.179 0.500
Nb3 0.679 0.821 0.500
Nb4 0.179 0.679 0.500
Al1 0.500 0.500 0.000
Al2 0.000 0.000 0.000

***

(5)
# PmPd2Pt, optimized geometry, DFT PBE-GGA
# formation energy from the elements: -3.33 eV per formula unit
# polymorph energy (0 for the lowest one): 0 meV/atom
# total magnetization: 0.0 Bohr magnetons per cell
data_PmPd2Pt
_chemical_formula_sum 'Pm1 Pd2 Pt1'
_symmetry_space_group_name_H-M 'P 1'
_symmetry_Int_Tables_number 1
_symmetry_space_group_name_Hall 'P 1'
_cell_length_a 4.150
_cell_length_b 4.201
_cell_length_c 4.201
_cell_angle_alpha 90.00
_cell_angle_beta 90.00
_cell_angle_gamma 90.00
loop_
_atom_site_label
_atom_site_fract_x
_atom_site_fract_y
_atom_site_fract_z
Pd1 0.000 0.500 0.000
Pd2 0.000 0.000 0.500
Pm1 0.500 0.500 0.500
Pt1 0.500 0.000 0.000

***

Which of these has the highest total magnetization? V7Ga2Sn2

***

Which value of total magnetization does entry 3 give? 0.1 Bohr magnetons per cell

***

What is the formula in the fifth record? PmPd2Pt

***

total magnetization of number 3 (V7Ga2Sn2)? 0.1 Bohr magnetons per cell